DFT (GGA-PBE) results for an optimized crystal structure of MoPSe3.

```
MoPSe3
1.0
4.791 0.000 0.000
0.000 4.791 0.000
0.000 0.000 4.791
P Mo Se
1 1 3
direct
0.000 0.000 0.000 P
0.500 0.500 0.500 Mo
0.000 0.500 0.000 Se
0.000 0.000 0.500 Se
0.500 0.000 0.000 Se
```

Computed properties:
Density (g/cm³): 5.49
Raw formation energy (eV per formula unit): 4.29
Magnetic moment (μB per cell): 3.06